# 1
# CrCd2Sb2

CrCd2Sb2 after structural relaxation (PBE, Alexandria).

Cell: 7.0822 7.0822 5.0293 Å, 90.00 90.00 90.00°
Closest atoms and distances in Å follow each position.
Positions (direct):
Cr1 0.0000 0.0000 0.0000  4 Sb 2.70
Cr2 0.5000 0.5000 0.0000  4 Sb 2.70
Cd1 0.1713 0.3287 0.5000  6 Sb 3.09-3.39, 1 Cd 3.43
Cd2 0.3287 0.8287 0.5000  6 Sb 3.09-3.39, 1 Cd 3.43
Cd3 0.6713 0.1713 0.5000  6 Sb 3.09-3.39, 1 Cd 3.43
Cd4 0.8287 0.6713 0.5000  6 Sb 3.09-3.39, 1 Cd 3.43
Sb1 0.1492 0.6492 0.0000  2 Cr 2.70, 1 Sb 2.99
Sb2 0.3508 0.1492 0.0000  2 Cr 2.70, 1 Sb 2.99
Sb3 0.6492 0.8508 0.0000  2 Cr 2.70, 1 Sb 2.99
Sb4 0.8508 0.3508 0.0000  2 Cr 2.70, 1 Sb 2.99

Values from the calculation:
- symmetry = P4/mbm (127)
- energy relative to the elements, uncorrected (eV/atom) = 0.2713
- raw total energy (eV per atom) = -3.67
- spin magnetization (μB/f.u.) = 3.4

***

# 2
# Cr2CdSb

Cr2CdSb after structural relaxation (PBE, Alexandria).

Cell: 5.5695 5.5677 3.9988 Å, 68.98 68.93 42.08°
Closest atoms and distances in Å follow each position.
Positions (direct):
Cr1 0.0000 0.0000 0.0000  4 Sb 2.83, 4 Cd 3.12, 4 Cr 3.12
Cr2 0.2500 0.2500 0.2500  4 Cd 2.83, 4 Sb 3.12, 4 Cr 3.12
Cd1 0.7500 0.7500 0.7500  8 Cr 2.83-3.12, 4 Sb 3.12
Sb1 0.5000 0.5000 0.5000  8 Cr 2.83-3.12, 4 Cd 3.12

Values from the calculation:
- symmetry = F222 (22)
- energy relative to the elements, uncorrected (eV/atom) = 0.4588
- raw total energy (eV per atom) = -5.61
- spin magnetization (μB/f.u.) = 7.2

***

# 3
# Cr2CdSb

Cr2CdSb after structural relaxation (PBE, Alexandria).

Cell: 4.8029 4.8029 4.8029 Å, 60.00 60.00 60.00°
Closest atoms and distances in Å follow each position.
Positions (direct):
Cr1 0.2500 0.2500 0.2500  4 Sb 2.94, 4 Cd 2.94
Cr2 0.7500 0.7500 0.7500  4 Sb 2.94, 4 Cd 2.94
Cd1 0.0000 0.0000 0.0000  8 Cr 2.94
Sb1 0.5000 0.5000 0.5000  8 Cr 2.94

Values from the calculation:
- symmetry = Fm-3m (225)
- energy relative to the elements, uncorrected (eV/atom) = 0.4447
- raw total energy (eV per atom) = -5.63
- spin magnetization (μB/f.u.) = 8.1

***

# 4
# Cr2CdSb

Cr2CdSb after structural relaxation (PBE, Alexandria).

Cell: 4.7693 4.7693 4.7693 Å, 60.00 60.00 60.00°
Closest atoms and distances in Å follow each position.
Positions (direct):
Cr1 0.0000 0.0000 0.0000  4 Cr 2.92, 4 Sb 2.92
Cr2 0.2500 0.2500 0.2500  4 Cr 2.92, 4 Cd 2.92
Cd1 0.5000 0.5000 0.5000  4 Cr 2.92, 4 Sb 2.92
Sb1 0.7500 0.7500 0.7500  4 Cd 2.92, 4 Cr 2.92

Values from the calculation:
- symmetry = F-43m (216)
- energy relative to the elements, uncorrected (eV/atom) = 0.4744
- raw total energy (eV per atom) = -5.60
- spin magnetization (μB/f.u.) = 0.6